[1]
! CsZn2Cd2As3 | OQMD via LeMat-Bulk | PBE | relaxed; values from VASP
! Volume: 26.60 Å³ per atom
! Space group: No. 47
! Uncorrected energy: -2.65 eV per atom
! Excess energy over the best structure of this formula in the dataset: 16 meV/atom
&SYSTEM
  ibrav = 0, nat = 8, ntyp = 4
/
ATOMIC_SPECIES
As 74.92 As.upf
Cd 112.41 Cd.upf
Cs 132.91 Cs.upf
Zn 65.41 Zn.upf
ATOMIC_POSITIONS crystal
As 0.500 0.500 0.708
Cd 0.500 0.000 0.158
Cs 0.000 0.000 0.500
As 0.500 0.500 0.292
Zn 0.000 0.500 0.162
As 0.000 0.000 0.000
Zn 0.000 0.500 0.838
Cd 0.500 0.000 0.842
CELL_PARAMETERS angstrom
-3.059 -0.697 -3.003
2.929 -2.389 -2.430
-3.062 -9.067 5.223



[2]
! Nd2SiSeO4 | OQMD via LeMat-Bulk | PBE | relaxed; values from VASP
! Volume: 15.29 Å³ per atom
! Space group: No. 57
! Uncorrected energy: -7.75 eV per atom
! Total moment: 0.0 μB/f.u.
&SYSTEM
  ibrav = 0, nat = 32, ntyp = 4
/
ATOMIC_SPECIES
O 16.00 O.upf
Se 78.96 Se.upf
Si 28.09 Si.upf
Nd 144.24 Nd.upf
ATOMIC_POSITIONS crystal
O 0.949 0.235 0.382
O 0.730 0.574 0.533
O 0.051 0.765 0.882
Se 0.581 0.893 0.750
Si 0.112 0.250 0.000
O 0.730 0.574 0.967
Nd 0.129 0.035 0.750
Nd 0.607 0.250 0.000
O 0.270 0.426 0.033
O 0.949 0.235 0.118
O 0.730 0.926 0.467
Nd 0.129 0.465 0.250
O 0.270 0.074 0.967
O 0.730 0.926 0.033
O 0.051 0.765 0.618
O 0.949 0.265 0.882
Se 0.581 0.607 0.250
Se 0.419 0.107 0.250
O 0.270 0.426 0.467
Si 0.888 0.750 0.000
Nd 0.393 0.750 0.500
Si 0.888 0.750 0.500
Nd 0.393 0.750 0.000
Si 0.112 0.250 0.500
O 0.051 0.735 0.382
O 0.949 0.265 0.618
Se 0.419 0.393 0.750
O 0.051 0.735 0.118
Nd 0.607 0.250 0.500
Nd 0.871 0.535 0.750
Nd 0.871 0.965 0.250
O 0.270 0.074 0.533
CELL_PARAMETERS angstrom
-2.901 3.367 -4.310
4.601 -2.390 -4.964
-6.692 -8.480 -2.120



[3]
! MgScCuPb | OQMD via LeMat-Bulk | PBE | relaxed; values from VASP
! Volume: 20.17 Å³ per atom
! Space group: No. 216
! Uncorrected energy: -3.96 eV per atom
! Total moment: 0.0 μB/f.u.
! Excess energy over the best structure of this formula in the dataset: 0 meV/atom
&SYSTEM
  ibrav = 0, nat = 4, ntyp = 4
/
ATOMIC_SPECIES
Mg 24.30 Mg.upf
Pb 207.20 Pb.upf
Cu 63.55 Cu.upf
Sc 44.96 Sc.upf
ATOMIC_POSITIONS crystal
Mg 0.250 0.250 0.250
Pb 0.000 0.000 0.000
Cu 0.500 0.500 0.500
Sc 0.750 0.750 0.750
CELL_PARAMETERS angstrom
-4.687 1.205 -0.316
-1.898 1.254 -4.283
-3.122 -2.966 -2.231



[4]
! ZnPtBr6 | OQMD via LeMat-Bulk | PBE | relaxed; values from VASP
! Volume: 26.61 Å³ per atom
! Space group: No. 148
! Uncorrected energy: -2.51 eV per atom
! Total moment: 0.0 μB/f.u.
&SYSTEM
  ibrav = 0, nat = 8, ntyp = 3
/
ATOMIC_SPECIES
Pt 195.08 Pt.upf
Br 79.90 Br.upf
Zn 65.41 Zn.upf
ATOMIC_POSITIONS crystal
Pt 0.500 0.500 0.500
Br 0.903 0.264 0.253
Br 0.736 0.420 0.747
Zn 0.000 0.000 0.000
Br 0.264 0.580 0.253
Br 0.097 0.736 0.747
Br 0.420 0.097 0.747
Br 0.580 0.903 0.253
CELL_PARAMETERS angstrom
-2.043 0.184 -6.160
1.194 -5.000 -3.966
-5.317 -4.074 -1.778